(1)
Material: RbPIrPd
Method: DFT, PBE-GGA
State: optimized geometry

Calculated values
energy of formation	-1.2	eV/f.u.
total magnetization	0.000	μB/cell
SG	P4/nmm, No. 129
N(E_F)	3.79	states/eV/cell
raw total energy	-5.41	eV/atom

Lattice parameters (Å, degrees): 3.9094 3.9094 12.6880 90.00 90.00 90.00
Fractional coordinates of all 8 atoms:
Pd1 0.7500 0.2500 0.5000
P1 0.2500 0.2500 0.1030
Ir1 0.2500 0.7500 0.0000
P2 0.7500 0.7500 0.8970
Rb1 0.2500 0.2500 0.7226
Pd2 0.2500 0.7500 0.5000
Ir2 0.7500 0.2500 0.0000
Rb2 0.7500 0.7500 0.2774

=====

(2)
Material: RePIr2Pd
Method: DFT, PBE-GGA
State: optimized geometry

Calculated values
energy of formation	10.6	eV/f.u.
total magnetization	3.885	μB/cell
SG	P4/mmm, No. 123
N(E_F)	5.08	states/eV/cell
raw total energy	-6.04	eV/atom

Lattice parameters (Å, degrees): 4.8519 4.1502 4.8519 90.00 90.00 90.00
Each line ends with the local moment (μB).
Fractional coordinates of all 5 atoms:
Re1 0.5000 0.5000 0.5000  2.38
Pd1 0.0000 0.0000 0.0000  0.02
Ir1 0.5000 0.0000 0.0000  0.47
Ir2 0.0000 0.0000 0.5000  0.72
P1 0.0000 0.5000 0.0000  -0.03

=====

(3)
Material: PIr2PdRh
Method: DFT, PBE-GGA
State: optimized geometry

Calculated values
energy of formation	9.4	eV/f.u.
total magnetization	0.000	μB/cell
SG	P4/mmm, No. 123
N(E_F)	6.60	states/eV/cell
raw total energy	-5.26	eV/atom

Lattice parameters (Å, degrees): 4.6454 4.8610 4.6454 90.00 90.00 90.00
Fractional coordinates of all 5 atoms:
Ir1 0.0000 0.0000 0.5000
Ir2 0.5000 0.0000 0.0000
Pd1 0.0000 0.5000 0.0000
P1 0.5000 0.5000 0.5000
Rh1 0.0000 0.0000 0.0000

=====

(4)
Material: PIrPdS2
Method: DFT, PBE-GGA
State: optimized geometry

Calculated values
raw formation energy	1275	meV per atom
total magnetization	0.001	μB/cell
SG	P4/mmm, No. 123
N(E_F)	5.68	states/eV/cell
raw total energy	-4.27	eV/atom
relative energy among the computed polymorphs	2.445	eV/f.u.

Lattice parameters (Å, degrees): 4.6202 4.6202 4.4947 90.00 90.00 90.00
Fractional coordinates of all 5 atoms:
S1 0.0000 0.5000 0.0000
Ir1 0.5000 0.5000 0.5000
P1 0.0000 0.0000 0.5000
Pd1 0.0000 0.0000 0.0000
S2 0.5000 0.0000 0.0000

=====

(5)
Material: P2IrPdS
Method: DFT, PBE-GGA
State: optimized geometry

Calculated values
raw formation energy	770	meV per atom
total magnetization	0.000	μB/cell
SG	P4/mmm, No. 123
N(E_F)	5.11	states/eV/cell
raw total energy	-5.03	eV/atom
relative energy among the computed polymorphs	0.000	eV/f.u.

Lattice parameters (Å, degrees): 4.4681 4.4681 5.0312 90.00 90.00 90.00
Fractional coordinates of all 5 atoms:
P1 0.5000 0.0000 0.0000
P2 0.0000 0.5000 0.0000
Ir1 0.0000 0.0000 0.0000
Pd1 0.5000 0.5000 0.5000
S1 0.0000 0.0000 0.5000

=====

(6)
Material: P2IrPdS
Method: DFT, PBE-GGA
State: optimized geometry

Calculated values
raw formation energy	1248	meV per atom
total magnetization	0.000	μB/cell
SG	P4/mmm, No. 123
N(E_F)	3.15	states/eV/cell
raw total energy	-4.55	eV/atom
relative energy among the computed polymorphs	2.392	eV/f.u.

Lattice parameters (Å, degrees): 4.5059 4.5059 4.6741 90.00 90.00 90.00
Fractional coordinates of all 5 atoms:
S1 0.0000 0.0000 0.5000
P1 0.0000 0.5000 0.0000
Ir1 0.5000 0.5000 0.5000
P2 0.5000 0.0000 0.0000
Pd1 0.0000 0.0000 0.0000

=====

(7)
Material: PIrPdS2
Method: DFT, PBE-GGA
State: optimized geometry

Calculated values
raw formation energy	787	meV per atom
total magnetization	0.002	μB/cell
SG	P4/mmm, No. 123
N(E_F)	6.97	states/eV/cell
raw total energy	-4.76	eV/atom
relative energy among the computed polymorphs	0.000	eV/f.u.

Lattice parameters (Å, degrees): 4.7916 4.7916 4.3974 90.00 90.00 90.00
Fractional coordinates of all 5 atoms:
S1 0.5000 0.0000 0.0000
Pd1 0.5000 0.5000 0.5000
P1 0.0000 0.0000 0.5000
S2 0.0000 0.5000 0.0000
Ir1 0.0000 0.0000 0.0000

=====

(8)
Material: SmP2IrPd2
Method: DFT, PBE-GGA
State: optimized geometry

Calculated values
energy of formation	0.1	eV/f.u.
total magnetization	0.122	μB/cell
SG	I4/mmm, No. 139
N(E_F)	3.88	states/eV/cell
raw total energy	-5.77	eV/atom

Lattice parameters (Å, degrees): 4.0566 4.0566 8.8466 103.25 103.25 90.00
Each line ends with the local moment (μB).
Fractional coordinates of all 6 atoms:
P1 0.3231 0.3231 0.6462  0.00
Pd1 0.2500 0.7500 0.5000  -0.01
P2 0.6769 0.6769 0.3538  0.00
Pd2 0.7500 0.2500 0.5000  -0.01
Sm1 0.5000 0.5000 0.0000  -0.01
Ir1 0.0000 0.0000 0.0000  0.16